Record 1
First-principles (PBE) data for a relaxed Pm8TeAs6 crystal, as listed in Alexandria.

Lattice parameters (Å, degrees): 4.393 10.828 10.828 120.00 90.00 90.00
Fractional coordinates of all 15 atoms:
Pm: 0.741 0.967 0.311
Pm: 0.747 0.333 0.667
Pm: 0.741 0.344 0.033
Pm: 0.259 0.311 0.344
Pm: 0.259 0.033 0.689
Pm: 0.259 0.656 0.967
Pm: 0.253 0.667 0.333
Pm: 0.741 0.689 0.656
Te: 0.500 0.000 0.000
As: 0.243 0.522 0.658
As: 0.757 0.658 0.135
As: 0.243 0.135 0.478
As: 0.757 0.865 0.522
As: 0.243 0.342 0.865
As: 0.757 0.478 0.342

The calculation puts the total energy at -5.81 eV per atom. The value obtained for the raw formation energy is -1.2035 eV/atom. The mass density comes out at 6.47 g cm⁻³.

Record 2
First-principles (PBE) data for a relaxed Pr2Sm12Dy5 crystal, as listed in Alexandria.

Lattice parameters (Å, degrees): 11.690 8.746 9.410 70.84 90.00 131.94
Fractional coordinates of all 19 atoms:
Sm: 0.050 0.608 0.803
Sm: 0.558 0.608 0.803
Sm: 0.171 0.785 0.417
Sm: 0.882 0.764 0.941
Sm: 0.829 0.215 0.583
Sm: 0.614 0.785 0.417
Sm: 0.442 0.392 0.197
Sm: 0.422 0.844 0.781
Sm: 0.950 0.392 0.197
Sm: 0.118 0.236 0.059
Sm: 0.386 0.215 0.583
Sm: 0.578 0.156 0.219
Dy: 0.000 0.000 0.500
Dy: 0.311 0.621 0.233
Dy: 0.689 0.379 0.767
Dy: 0.196 0.393 0.662
Dy: 0.804 0.607 0.338
Pr: 0.726 0.000 0.000
Pr: 0.274 0.000 0.000

The calculation puts the total energy at -4.58 eV per atom. The energy of formation comes out at 0.11 eV/atom. The mass density comes out at 7.49 g cm⁻³.

Record 3
First-principles (PBE) data for a relaxed RbMg3In2 crystal, as listed in Alexandria.

Lattice parameters (Å, degrees): 4.887 9.127 10.339 121.60 103.67 90.00
Fractional coordinates of all 12 atoms:
Mg: 0.414 0.479 0.829
Mg: 0.317 0.075 0.634
Mg: 0.024 0.695 0.048
Mg: 0.976 0.305 0.952
Mg: 0.586 0.521 0.171
Mg: 0.683 0.925 0.366
In: 0.521 0.869 0.041
In: 0.824 0.290 0.648
In: 0.176 0.710 0.352
In: 0.479 0.131 0.959
Rb: 0.159 0.246 0.318
Rb: 0.841 0.754 0.682

The calculation puts the total energy at -1.91 eV per atom. The energy of formation comes out at -0.04 eV/atom. The mass density comes out at 3.41 g cm⁻³.

Record 4
First-principles (PBE) data for a relaxed In9Bi4Pb2 crystal, as listed in Alexandria.

Lattice parameters (Å, degrees): 5.598 5.598 16.563 90.00 90.00 120.00
Fractional coordinates of all 15 atoms:
In: 0.333 0.667 0.018
In: 0.000 0.000 0.500
In: 0.000 0.000 0.100
In: 0.333 0.667 0.620
In: 0.000 0.000 0.900
In: 0.000 0.000 0.697
In: 0.667 0.333 0.982
In: 0.000 0.000 0.303
In: 0.667 0.333 0.380
Pb: 0.333 0.667 0.820
Pb: 0.667 0.333 0.180
Bi: 0.667 0.333 0.781
Bi: 0.333 0.667 0.219
Bi: 0.333 0.667 0.412
Bi: 0.667 0.333 0.588

The calculation puts the total energy at -3.14 eV per atom. The energy of formation comes out at 0.03 eV/atom. The mass density comes out at 8.43 g cm⁻³.

Record 5
First-principles (PBE) data for a relaxed Y3PtC crystal, as listed in Alexandria.

Lattice parameters (Å, degrees): 4.813 4.813 4.813 90.00 90.00 90.00
Fractional coordinates of all 5 atoms:
Pt: 0.500 0.500 0.500
Y: 0.500 0.000 0.000
Y: 0.000 0.000 0.500
Y: 0.000 0.500 0.000
C: 0.000 0.000 0.000

The calculation puts the total energy at -7.42 eV per atom. The energy of formation comes out at -0.49 eV/atom. The mass density comes out at 7.06 g cm⁻³.

Record 6
First-principles (PBE) data for a relaxed SrCrSe3 crystal, as listed in Alexandria.

Lattice parameters (Å, degrees): 4.935 4.935 4.935 90.00 90.00 90.00
Site moments in Bohr magnetons follow the coordinates.
Fractional coordinates of all 5 atoms:
Sr: 0.500 0.500 0.500  0.01
Se: 0.000 0.000 0.500  -0.10
Se: 0.000 0.500 0.000  -0.11
Se: 0.500 0.000 0.000  -0.17
Cr: 0.000 0.000 0.000  2.74

The calculation puts the total energy at -5.16 eV per atom. The value obtained for the raw formation energy is -0.8103 eV/atom. The mass density comes out at 5.20 g cm⁻³.

Record 7
First-principles (PBE) data for a relaxed CeGa4Ni2 crystal, as listed in Alexandria.

Lattice parameters (Å, degrees): 4.236 6.434 16.780 90.00 90.00 90.00
Fractional coordinates of all 28 atoms:
Ga: 0.250 0.675 0.684
Ga: 0.250 0.501 0.426
Ga: 0.250 0.224 0.195
Ga: 0.250 0.181 0.535
Ga: 0.250 0.276 0.695
Ga: 0.750 0.819 0.465
Ga: 0.750 0.175 0.816
Ga: 0.750 0.325 0.316
Ga: 0.750 0.681 0.965
Ga: 0.750 0.499 0.574
Ga: 0.750 0.724 0.305
Ga: 0.250 0.999 0.926
Ga: 0.250 0.825 0.184
Ga: 0.750 0.001 0.074
Ga: 0.250 0.319 0.035
Ga: 0.750 0.776 0.805
Ni: 0.750 0.245 0.463
Ni: 0.250 0.529 0.281
Ni: 0.250 0.755 0.537
Ni: 0.750 0.029 0.219
Ni: 0.250 0.745 0.037
Ni: 0.250 0.971 0.781
Ni: 0.750 0.471 0.719
Ni: 0.750 0.255 0.963
Ce: 0.750 0.514 0.136
Ce: 0.250 0.014 0.364
Ce: 0.750 0.986 0.636
Ce: 0.250 0.486 0.864

The calculation puts the total energy at -4.75 eV per atom. The energy of formation comes out at -0.52 eV/atom. The mass density comes out at 7.79 g cm⁻³.

Record 8
First-principles (PBE) data for a relaxed RbAsSeO6 crystal, as listed in Alexandria.

Lattice parameters (Å, degrees): 4.907 4.907 6.518 90.00 90.00 60.00
Fractional coordinates of all 9 atoms:
Se: 0.667 0.667 0.500
Rb: 0.000 0.000 0.000
O: 0.386 0.619 0.338
O: 0.386 0.995 0.662
O: 0.619 0.386 0.662
O: 0.995 0.386 0.338
O: 0.619 0.995 0.338
O: 0.995 0.619 0.662
As: 0.333 0.333 0.500

The calculation puts the total energy at -5.39 eV per atom. The value obtained for the raw formation energy is -1.0744 eV/atom. The mass density comes out at 4.10 g cm⁻³.

What is the formula in the eighth record?
RbAsSeO6